VASP calculation (PBE with a Hubbard U) on CrBrF2 after structural relaxation.

Summary:
Density of states at the Fermi level (states/eV/f.u.): 1.454
Total magnetization (μB/f.u.): 3.00
Energy (eV for the cell shown): -16.1

POSCAR file:
```
CrBrF2
1.0
0.000 3.072 3.072
3.072 0.000 3.072
3.072 3.072 0.000
Cr Br F
1 1 2
direct
0.000 0.000 0.000
0.500 0.500 0.500
0.250 0.250 0.250
0.750 0.750 0.750
```